Record 1
This record from the Alexandria database describes a geometry-optimized K3CdF structure. The functional is PBE.

a = 5.5552 Å, b = 5.5552 Å, c = 5.5552 Å
α = 90.00°, β = 90.00°, γ = 90.00°
With the nearest neighbours (Å) after each atom.
Fractional positions:
K1 0.0000 0.5000 0.0000  2 F 2.78
K2 0.0000 0.0000 0.5000  2 F 2.78
K3 0.5000 0.0000 0.0000  2 F 2.78
F1 0.0000 0.0000 0.0000  6 K 2.78
Cd1 0.5000 0.5000 0.5000  12 K 3.93

For the volume, the calculation gives 34.29 Å³/atom. For the energy above the most stable polymorph in this dataset, the calculation gives 0.000 eV/atom. For the energy relative to the elements, uncorrected, the calculation gives -1.0405 eV per atom.

=====

Record 2
This record from the Alexandria database describes a geometry-optimized Ce5Pm2Ir4 structure. The functional is PBE.

a = 6.4310 Å, b = 7.9258 Å, c = 8.7670 Å
α = 41.52°, β = 68.48°, γ = 66.06°
With the nearest neighbours (Å) after each atom.
Fractional positions:
Ce1 0.1030 0.1858 0.0615  4 Ir 2.86-2.96, 1 Ce 2.92
Ce2 0.8970 0.8142 0.9385  4 Ir 2.86-2.96, 1 Ce 2.92
Ce3 0.0000 0.5000 0.5000  2 Ir 3.05
Ce4 0.6497 0.1858 0.0615  4 Ir 2.86-2.96, 1 Ce 2.92
Ce5 0.3503 0.8142 0.9385  4 Ir 2.86-2.96, 1 Ce 2.92
Pm1 0.3194 0.7638 0.5975  3 Ir 2.89-2.96
Pm2 0.6806 0.2362 0.4025  3 Ir 2.89-2.96
Ir1 0.5002 0.7444 0.2552  4 Ce 2.86-2.95, 2 Pm 2.89-2.96, 2 Ir 2.92-3.05
Ir2 0.4998 0.2556 0.7448  4 Ce 2.86-2.95, 2 Pm 2.89-2.96, 2 Ir 2.92-3.05
Ir3 0.7890 0.6717 0.7503  5 Ce 2.89-3.05, 1 Pm 2.90
Ir4 0.2110 0.3283 0.2497  5 Ce 2.89-3.05, 1 Pm 2.90

For the volume, the calculation gives 24.48 Å³/atom.

=====

Record 3
This record from the Alexandria database describes a geometry-optimized K2LaAu structure. The functional is PBE.

a = 4.0337 Å, b = 5.5211 Å, c = 6.7177 Å
α = 90.00°, β = 90.00°, γ = 90.00°
With the nearest neighbours (Å) after each atom.
Fractional positions:
Au1 0.5000 0.5000 0.7500  2 La 3.36, 8 K 3.73
K1 0.0000 0.0000 0.9704  1 K 2.96
K2 0.0000 0.0000 0.5296  1 K 2.96
La1 0.5000 0.5000 0.2500  2 Au 3.36

For the volume, the calculation gives 37.40 Å³/atom. For the energy above the most stable polymorph in this dataset, the calculation gives 0.444 eV/atom.

=====

Record 4
This record from the Alexandria database describes a geometry-optimized Np2USi2Ru5 structure. The functional is PBE.

a = 3.4665 Å, b = 9.9270 Å, c = 9.9270 Å
α = 90.00°, β = 90.00°, γ = 90.00°
With the nearest neighbours (Å) after each atom.
Fractional positions:
Np1 0.0000 0.6715 0.1715  3 Si 2.85-2.98, 10 Ru 2.97-3.18
Np2 0.0000 0.3285 0.8285  3 Si 2.85-2.98, 10 Ru 2.97-3.18
Np3 0.0000 0.1715 0.3285  3 Si 2.85-2.98, 10 Ru 2.97-3.18
Np4 0.0000 0.8285 0.6715  3 Si 2.85-2.98, 10 Ru 2.97-3.18
U1 0.0000 0.0000 0.0000  8 Ru 2.80
U2 0.0000 0.5000 0.5000  8 Ru 2.80
Si1 0.0000 0.1254 0.6254  6 Ru 2.44-2.47
Si2 0.0000 0.8746 0.3746  6 Ru 2.44-2.47
Si3 0.0000 0.6254 0.8746  6 Ru 2.44-2.47
Si4 0.0000 0.3746 0.1254  6 Ru 2.44-2.47
Ru1 0.5000 0.2105 0.0702  2 Si 2.44
Ru2 0.5000 0.7895 0.9298  2 Si 2.44
Ru3 0.5000 0.0702 0.7895  2 Si 2.44
Ru4 0.5000 0.7105 0.4298  2 Si 2.44
Ru5 0.5000 0.9298 0.2105  2 Si 2.44
Ru6 0.5000 0.2895 0.5702  2 Si 2.44
Ru7 0.5000 0.5702 0.7105  2 Si 2.44
Ru8 0.5000 0.4298 0.2895  2 Si 2.44
Ru9 0.5000 0.5000 0.0000  4 Si 2.47
Ru10 0.5000 0.0000 0.5000  4 Si 2.47

For the volume, the calculation gives 17.08 Å³/atom. For the energy relative to the elements, uncorrected, the calculation gives -0.3367 eV per atom.

=====

Record 5
This record from the Alexandria database describes a geometry-optimized YH5Ir structure. The functional is PBE.

a = 4.5159 Å, b = 4.5159 Å, c = 7.7277 Å
α = 64.81°, β = 64.81°, γ = 62.43°
With the nearest neighbours (Å) after each atom.
Fractional positions:
Y1 0.2501 0.2499 0.2500  14 H 2.34-2.53
Y2 0.7499 0.7501 0.7500  14 H 2.34-2.53
H1 0.3475 0.8219 0.0854  1 Ir 1.67
H2 0.1535 0.6771 0.4139  1 Ir 1.67
H3 0.3219 0.8475 0.5854  1 Ir 1.67
H4 0.7501 0.7499 0.2500  2 Ir 1.94
H5 0.8229 0.3465 0.0861  1 Ir 1.67
H6 0.1771 0.6535 0.9139  1 Ir 1.67
H7 0.2499 0.2501 0.7500  2 Ir 1.94
H8 0.6781 0.1525 0.4146  1 Ir 1.67
H9 0.8465 0.3229 0.5861  1 Ir 1.67
H10 0.6525 0.1781 0.9146  1 Ir 1.67
Ir1 0.0000 0.0000 0.0000  4 H 1.67
Ir2 0.5000 0.5000 0.5000  4 H 1.67

For the volume, the calculation gives 8.66 Å³/atom.

=====

Record 6
This record from the Alexandria database describes a geometry-optimized Pr3CuNi2 structure. The functional is PBE.

a = 3.9449 Å, b = 11.7141 Å, c = 12.2409 Å
α = 90.00°, β = 90.00°, γ = 90.00°
With the nearest neighbours (Å) after each atom.
Fractional positions:
Pr1 0.2500 0.3666 0.0650  4 Ni 2.92-2.95, 1 Cu 3.04
Pr2 0.7500 0.6334 0.9350  4 Ni 2.92-2.95, 1 Cu 3.04
Pr3 0.7500 0.8666 0.4350  4 Ni 2.92-2.95, 1 Cu 3.04
Pr4 0.2500 0.1334 0.5650  4 Ni 2.92-2.95, 1 Cu 3.04
Pr5 0.2500 0.6688 0.2010  2 Ni 2.86, 2 Cu 2.96
Pr6 0.7500 0.3312 0.7990  2 Ni 2.86, 2 Cu 2.96
Pr7 0.7500 0.1688 0.2990  2 Ni 2.86, 2 Cu 2.96
Pr8 0.2500 0.8312 0.7010  2 Ni 2.86, 2 Cu 2.96
Pr9 0.2500 0.4231 0.3802  4 Ni 2.94-3.09, 3 Cu 3.00-3.05
Pr10 0.7500 0.5769 0.6198  4 Ni 2.94-3.09, 3 Cu 3.00-3.05
Pr11 0.7500 0.9231 0.1198  4 Ni 2.94-3.09, 3 Cu 3.00-3.05
Pr12 0.2500 0.0769 0.8802  4 Ni 2.94-3.09, 3 Cu 3.00-3.05
Cu1 0.2500 0.1154 0.1266  3 Ni 2.50-2.59
Cu2 0.7500 0.8846 0.8734  3 Ni 2.50-2.59
Cu3 0.7500 0.6154 0.3734  3 Ni 2.50-2.59
Cu4 0.2500 0.3846 0.6266  3 Ni 2.50-2.59
Ni1 0.2500 0.6881 0.4772  2 Cu 2.50
Ni2 0.7500 0.3119 0.5228  2 Cu 2.50
Ni3 0.7500 0.1881 0.0228  2 Cu 2.50
Ni4 0.2500 0.8119 0.9772  2 Cu 2.50
Ni5 0.2500 0.9926 0.3021  1 Cu 2.59, 2 Pr 2.86
Ni6 0.7500 0.0074 0.6979  1 Cu 2.59, 2 Pr 2.86
Ni7 0.7500 0.4926 0.1979  1 Cu 2.59, 2 Pr 2.86
Ni8 0.2500 0.5074 0.8021  1 Cu 2.59, 2 Pr 2.86

For the volume, the calculation gives 23.57 Å³/atom.

=====

Record 7
This record from the Alexandria database describes a geometry-optimized Be2CdAg structure. The functional is PBE.

a = 5.0823 Å, b = 5.0823 Å, c = 5.0823 Å
α = 146.52°, β = 129.60°, γ = 61.87°
With the nearest neighbours (Å) after each atom.
Fractional positions:
Be1 0.9810 0.9810 0.0000  2 Be 2.29
Be2 0.7787 0.2787 0.5000  2 Be 2.29
Ag1 0.2283 0.7283 0.5000  6 Be 2.61-2.65, 4 Cd 2.87
Cd1 0.5120 0.5120 0.0000  6 Be 2.63-2.75, 4 Ag 2.87, 2 Cd 2.93

For the volume, the calculation gives 13.81 Å³/atom.

=====

Record 8
This record from the Alexandria database describes a geometry-optimized BeB2 structure. The functional is PBE.

a = 2.8390 Å, b = 2.8390 Å, c = 3.3168 Å
α = 115.34°, β = 115.34°, γ = 90.00°
With the nearest neighbours (Å) after each atom.
Fractional positions:
Be1 0.0000 0.0000 0.0000  2 B 1.80
B1 0.6599 0.6599 0.3197  1 B 1.69, 1 Be 1.80
B2 0.3401 0.3401 0.6803  1 B 1.69, 1 Be 1.80

For the volume, the calculation gives 7.09 Å³/atom. For the energy above the most stable polymorph in this dataset, the calculation gives 0.674 eV/atom.

=====

Record 9
This record from the Alexandria database describes a geometry-optimized SrMgNiSn2 structure. The functional is PBE.

a = 5.0688 Å, b = 5.0688 Å, c = 4.9432 Å
α = 90.00°, β = 90.00°, γ = 90.00°
With the nearest neighbours (Å) after each atom.
Fractional positions:
Sr1 0.5000 0.5000 0.5000  8 Sn 3.54, 4 Mg 3.58
Mg1 0.0000 0.0000 0.5000  2 Ni 2.47
Sn1 0.0000 0.5000 0.0000  2 Ni 2.53
Sn2 0.5000 0.0000 0.0000  2 Ni 2.53
Ni1 0.0000 0.0000 0.0000  2 Mg 2.47, 4 Sn 2.53

For the volume, the calculation gives 25.40 Å³/atom.

=====

Record 10
This record from the Alexandria database describes a geometry-optimized MnIn structure. The functional is PBE.

a = 8.0585 Å, b = 13.7207 Å, c = 5.2153 Å
α = 90.00°, β = 90.00°, γ = 90.00°
With the nearest neighbours (Å) after each atom.
Fractional positions:
Mn1 0.0000 0.9208 0.0000  1 Mn 2.17
Mn2 0.0000 0.0792 0.0000  1 Mn 2.17
Mn3 0.2500 0.8292 0.2500  1 Mn 2.17
Mn4 0.2500 0.6708 0.2500  1 Mn 2.17
Mn5 0.0000 0.4208 0.5000  1 Mn 2.17
Mn6 0.0000 0.5792 0.5000  1 Mn 2.17
Mn7 0.2500 0.3292 0.7500  1 Mn 2.17
Mn8 0.2500 0.1708 0.7500  1 Mn 2.17
Mn9 0.5000 0.9208 0.5000  1 Mn 2.17
Mn10 0.5000 0.0792 0.5000  1 Mn 2.17
Mn11 0.7500 0.8292 0.7500  1 Mn 2.17
Mn12 0.7500 0.6708 0.7500  1 Mn 2.17
Mn13 0.5000 0.4208 0.0000  1 Mn 2.17
Mn14 0.5000 0.5792 0.0000  1 Mn 2.17
Mn15 0.7500 0.3292 0.2500  1 Mn 2.17
Mn16 0.7500 0.1708 0.2500  1 Mn 2.17
In1 0.3287 0.0000 0.0000  4 Mn 2.76-2.86, 3 In 2.76-2.90
In2 0.6713 0.0000 0.0000  4 Mn 2.76-2.86, 3 In 2.76-2.90
In3 0.9213 0.7500 0.2500  4 Mn 2.76-2.86, 3 In 2.76-2.90
In4 0.5787 0.7500 0.2500  4 Mn 2.76-2.86, 3 In 2.76-2.90
In5 0.3287 0.5000 0.5000  4 Mn 2.76-2.86, 3 In 2.76-2.90
In6 0.6713 0.5000 0.5000  4 Mn 2.76-2.86, 3 In 2.76-2.90
In7 0.9213 0.2500 0.7500  4 Mn 2.76-2.86, 3 In 2.76-2.90
In8 0.5787 0.2500 0.7500  4 Mn 2.76-2.86, 3 In 2.76-2.90
In9 0.8287 0.0000 0.5000  4 Mn 2.76-2.86, 3 In 2.76-2.90
In10 0.1713 0.0000 0.5000  4 Mn 2.76-2.86, 3 In 2.76-2.90
In11 0.4213 0.7500 0.7500  4 Mn 2.76-2.86, 3 In 2.76-2.90
In12 0.0787 0.7500 0.7500  4 Mn 2.76-2.86, 3 In 2.76-2.90
In13 0.8287 0.5000 0.0000  4 Mn 2.76-2.86, 3 In 2.76-2.90
In14 0.1713 0.5000 0.0000  4 Mn 2.76-2.86, 3 In 2.76-2.90
In15 0.4213 0.2500 0.2500  4 Mn 2.76-2.86, 3 In 2.76-2.90
In16 0.0787 0.2500 0.2500  4 Mn 2.76-2.86, 3 In 2.76-2.90

For the volume, the calculation gives 18.02 Å³/atom.

=====

Record 11
This record from the Alexandria database describes a geometry-optimized LiY2TmIn4 structure. The functional is PBE.

a = 5.1917 Å, b = 5.1917 Å, c = 9.1442 Å
α = 73.51°, β = 73.51°, γ = 60.00°
With the nearest neighbours (Å) after each atom.
Fractional positions:
Li1 0.5000 0.5000 0.5000  8 In 3.18-3.20
Y1 0.7538 0.7538 0.7385  8 In 3.12-3.37
Y2 0.2462 0.2462 0.2615  8 In 3.12-3.37
Tm1 0.0000 0.0000 0.0000  8 In 3.20-3.26
In1 0.3763 0.3763 0.8710  3 Tm 3.20, 1 Li 3.20, 4 Y 3.21-3.37
In2 0.8741 0.8741 0.3777  4 Y 3.12-3.16, 3 Li 3.18, 1 Tm 3.26
In3 0.1259 0.1259 0.6223  4 Y 3.12-3.16, 3 Li 3.18, 1 Tm 3.26
In4 0.6237 0.6237 0.1290  3 Tm 3.20, 1 Li 3.20, 4 Y 3.21-3.37

For the volume, the calculation gives 25.21 Å³/atom.

=====

Record 12
This record from the Alexandria database describes a geometry-optimized CuIr4 structure. The functional is PBE.

a = 3.8443 Å, b = 4.6976 Å, c = 4.6976 Å
α = 99.64°, β = 114.15°, γ = 65.85°
With the nearest neighbours (Å) after each atom.
Fractional positions:
Cu1 0.0000 0.0000 0.0000  12 Ir 2.69-2.73
Ir1 0.8019 0.8017 0.4055  3 Cu 2.69-2.73, 9 Ir 2.69-2.74
Ir2 0.1981 0.1983 0.5945  3 Cu 2.69-2.73, 9 Ir 2.69-2.74
Ir3 0.6036 0.5945 0.8017  3 Cu 2.69-2.73, 9 Ir 2.69-2.74
Ir4 0.3964 0.4055 0.1983  3 Cu 2.69-2.73, 9 Ir 2.69-2.74

For the volume, the calculation gives 14.13 Å³/atom. For the energy above the most stable polymorph in this dataset, the calculation gives 0.000 eV/atom.

=====

Record 13
This record from the Alexandria database describes a geometry-optimized Tl2TeH2 structure. The functional is PBE.

a = 8.0533 Å, b = 8.0533 Å, c = 3.9188 Å
α = 90.00°, β = 90.00°, γ = 90.00°
With the nearest neighbours (Å) after each atom.
Fractional positions:
H1 0.8680 0.3680 0.5000  2 Tl 1.96
H2 0.3680 0.1320 0.5000  2 Tl 1.96
H3 0.1320 0.6320 0.5000  2 Tl 1.96
H4 0.6320 0.8680 0.5000  2 Tl 1.96
Tl1 0.8616 0.3616 0.0000  2 H 1.96
Tl2 0.3616 0.1384 0.0000  2 H 1.96
Tl3 0.1384 0.6384 0.0000  2 H 1.96
Tl4 0.6384 0.8616 0.0000  2 H 1.96
Te1 0.0000 0.0000 0.0000  4 Tl 3.12
Te2 0.5000 0.5000 0.0000  4 Tl 3.12

For the volume, the calculation gives 25.42 Å³/atom. For the energy above the most stable polymorph in this dataset, the calculation gives 0.471 eV/atom.

=====

Record 14
This record from the Alexandria database describes a geometry-optimized Rb3Er2BiS6 structure. The functional is PBE.

a = 7.1034 Å, b = 7.1034 Å, c = 8.0313 Å
α = 98.48°, β = 98.48°, γ = 120.00°
With the nearest neighbours (Å) after each atom.
Fractional positions:
Rb1 0.1640 0.8360 0.5000  6 S 3.30-3.37
Rb2 0.8360 0.1640 0.5000  6 S 3.30-3.37
Rb3 0.5000 0.5000 0.5000  6 S 3.29-3.37
Er1 0.3331 0.6669 0.0000  6 S 2.76
Er2 0.6669 0.3331 0.0000  6 S 2.76
Bi1 0.0000 0.0000 0.0000  6 S 2.86
S1 0.9355 0.5913 0.8066  2 Er 2.76, 1 Bi 2.86
S2 0.7199 0.7199 0.1927  2 Er 2.76, 1 Bi 2.86
S3 0.0645 0.4087 0.1934  2 Er 2.76, 1 Bi 2.86
S4 0.5913 0.9355 0.8066  2 Er 2.76, 1 Bi 2.86
S5 0.2801 0.2801 0.8073  2 Er 2.76, 1 Bi 2.86
S6 0.4087 0.0645 0.1934  2 Er 2.76, 1 Bi 2.86

For the volume, the calculation gives 27.95 Å³/atom. For the energy relative to the elements, uncorrected, the calculation gives -1.4976 eV per atom.

=====

Record 15
This record from the Alexandria database describes a geometry-optimized Cs2Si2F structure. The functional is PBE.

a = 7.1264 Å, b = 7.1264 Å, c = 6.2645 Å
α = 55.33°, β = 55.33°, γ = 90.00°
With the nearest neighbours (Å) after each atom.
Fractional positions:
Cs1 0.7500 0.2500 0.5000  4 Si 3.65, 2 Cs 3.72, 4 F 4.02
Cs2 0.2500 0.7500 0.5000  4 Si 3.65, 2 Cs 3.72, 4 F 4.02
Si1 0.3548 0.3548 0.2904  1 Si 2.16
Si2 0.6452 0.6452 0.7096  1 Si 2.16
F1 0.0000 0.0000 0.0000  2 Si 2.64

For the volume, the calculation gives 37.80 Å³/atom. For the energy relative to the elements, uncorrected, the calculation gives -0.2631 eV per atom.

=====

Record 16
This record from the Alexandria database describes a geometry-optimized LaCd2Cl structure. The functional is PBE.

a = 6.1285 Å, b = 6.1285 Å, c = 3.6672 Å
α = 90.00°, β = 90.00°, γ = 124.20°
With the nearest neighbours (Å) after each atom.
Fractional positions:
Cl1 0.5000 0.0000 0.5000  2 La 2.87
Cd1 0.0000 0.0000 0.0000  2 Cd 2.87
Cd2 0.5000 0.5000 0.0000  2 Cd 2.87
La1 0.0000 0.5000 0.5000  2 Cl 2.87

For the volume, the calculation gives 28.48 Å³/atom. For the energy above the most stable polymorph in this dataset, the calculation gives 0.114 eV/atom. For the energy relative to the elements, uncorrected, the calculation gives -0.6354 eV per atom.

=====

In the order shown, the computed Fermi-level density of states values come out to 2.5, 22.7, 4.6, 42.9, 0.2, 21.9, 0.8, 0.8, 1.9, 28.7, 3.9, 5.2, 4.0, 0.0, 1.7, 2.1 states/eV/cell.
In the order shown, the computed calculated density values come out to 2.41, 10.85, 4.60, 12.38, 7.84, 7.09, 7.16, 2.39, 5.34, 7.82, 6.69, 19.57, 7.04, 4.91, 3.00, 5.82 g/cm³.
In the order shown, the computed energy values come out to -2.256, -7.310, -2.373, -9.776, -5.062, -5.213, -2.511, -5.127, -3.685, -5.417, -4.208, -7.841, -2.595, -4.887, -3.148, -2.786 eV/atom.